# GdInP2

An optimized crystal structure of GdInP2 (PBE-GGA, Alexandria via LeMat-Bulk).

Electronic total energy in eV/atom: -7.59
V in Å³/atom: 22.4
Formation energy from the elements in eV/atom: -0.676

a = 4.0410 Å, b = 4.0410 Å, c = 19.0450 Å
α = 90.00°, β = 90.00°, γ = 120.00°
Space group R-3m (No. 166, hexagonal axes)
Symmetry-distinct sites (fractional):
Gd1 0.0000 0.0000 0.0000 (multiplicity 3)
In1 0.0000 0.0000 0.5000 (multiplicity 3)
P1 0.0000 0.0000 0.2468 (multiplicity 6)